No. 1
First-principles (GGA-PBE) data for a relaxed structure of CsBa2Ge2S6, as listed in Alexandria.

Properties
Raw formation energy = -1115 meV per atom
Volume = 373.01 Å³ per cell
Electronic total energy = -4.634 eV per atom

Lattice parameters (Å, degrees): 6.1690 7.7453 8.3761 84.20 87.13 69.54
Last column: nearest neighbours and their distance in Å.
Space group P-1 (No. 2)
Unique sites:
Cs1 0.0000 0.0000 0.0000  6 S 3.58-3.82
Ba1 0.3317 0.2779 0.6041  6 S 3.14-3.21
Ge1 0.4036 0.4263 0.1586  4 S 2.24-2.40
S1 0.2162 0.6254 0.3446  1 Ge 2.28
S2 0.2407 0.5317 0.8974  2 Ge 2.35-2.40
S3 0.4451 0.1362 0.2554  1 Ge 2.24


No. 2
First-principles (GGA-PBE) data for a relaxed structure of Cs2BaGeS4, as listed in Alexandria.

Properties
Raw formation energy = -1042 meV per atom
Volume = 2844.78 Å³ per cell
Electronic total energy = -4.136 eV per atom

Lattice parameters (Å, degrees): 6.9845 14.3949 28.2948 90.00 90.00 90.00
Last column: nearest neighbours and their distance in Å.
Space group Fddd (No. 70, origin choice 2)
Unique sites:
Cs1 0.1250 0.1250 0.3151  4 S 3.71-3.75
Ba1 0.1250 0.1250 0.1250  4 S 2.97
Ge1 0.1250 0.1250 0.6250  4 S 2.26
S1 0.0496 0.2778 0.8292  1 Ge 2.26